# Sm4ErCd5, relaxed, DFT PBE
# * uncorrected energy: -3.12 eV per atom
# * ΔE_f: -30.3 kJ/mol of atoms
# * N(E_F): 11.90 states/eV per cell
data_Sm4ErCd5
_cell_length_a 3.783
_cell_length_b 3.783
_cell_length_c 19.081
_cell_angle_alpha 90.00
_cell_angle_beta 90.00
_cell_angle_gamma 90.00
_space_group_name_H-M_alt 'P 4/m m m'
_space_group_IT_number 123
_space_group_name_Hall '-P 4 2'
loop_
_atom_site_label
_atom_site_type_symbol
_atom_site_fract_x
_atom_site_fract_y
_atom_site_fract_z
_atom_site_occupancy
Sm1 Sm 0.000 0.000 0.101 1
Sm2 Sm 0.000 0.000 0.303 1
Er1 Er 0.000 0.000 0.500 1
Cd1 Cd 0.500 0.500 0.000 1
Cd2 Cd 0.500 0.500 0.202 1
Cd3 Cd 0.500 0.500 0.407 1

---

# Ce2Ho2Er5, relaxed, DFT PBE
# * uncorrected energy: -4.75 eV per atom
# * ΔE_f: 11.4 kJ/mol of atoms
# * N(E_F): 37.47 states/eV per cell
data_Ce2Ho2Er5
_cell_length_a 16.389
_cell_length_b 5.568
_cell_length_c 6.522
_cell_angle_alpha 90.00
_cell_angle_beta 111.22
_cell_angle_gamma 90.00
_space_group_name_H-M_alt 'C 1 2/m 1'
_space_group_IT_number 12
_space_group_name_Hall '-C 2y'
loop_
_atom_site_label
_atom_site_type_symbol
_atom_site_fract_x
_atom_site_fract_y
_atom_site_fract_z
_atom_site_occupancy
Ce1 Ce 0.078 0.000 0.490 1
Ho1 Ho 0.062 0.500 0.780 1
Er1 Er 0.000 0.000 0.000 1
Er2 Er 0.180 0.500 0.354 1
Er3 Er 0.208 0.000 0.059 1